This record from Alexandria via LeMat-Bulk describes a geometry-optimized Nd2Ga3Au6 structure. The functional is PBE.

The structure in POSCAR format:
```
Nd2Ga3Au6
1.0
7.769 0.000 0.000
-3.885 6.728 0.000
0.000 0.000 4.471
Nd Ga Au
2 3 6
direct
0.333 0.667 0.000 Nd
0.667 0.333 0.000 Nd
0.000 0.630 0.500 Ga
0.370 0.370 0.500 Ga
0.630 0.000 0.500 Ga
0.000 0.308 0.500 Au
0.000 0.790 0.000 Au
0.210 0.210 0.000 Au
0.308 0.000 0.500 Au
0.692 0.692 0.500 Au
0.790 0.000 0.000 Au
```

Computed properties:
- E_tot (eV/cell) = -44.43
- ΔE_f (eV/atom) = -0.56
- DOS(E_F) (states/eV per cell) = 3.29
- volume (Å³ per atom) = 21.2